A:
An optimized crystal structure of Pd3SeI. Source: Alexandria, functional PBE.

```
data_Pd3SeI
_cell_length_a 5.012
_cell_length_b 5.012
_cell_length_c 5.012
_cell_angle_alpha 90.00
_cell_angle_beta 90.00
_cell_angle_gamma 90.00
_space_group_name_H-M_alt 'P m -3 m'
_space_group_IT_number 221
_space_group_name_Hall '-P 4 2 3'
loop_
_atom_site_label
_atom_site_fract_x
_atom_site_fract_y
_atom_site_fract_z
_atom_site_occupancy
Pd1 0.000 0.000 0.500 1
Se1 0.500 0.500 0.500 1
I1 0.000 0.000 0.000 1
```

Mass density ... 6925 kg/m3

---

B:
An optimized crystal structure of Pd3SeI. Source: Alexandria, functional PBE.

```
data_Pd3SeI
_cell_length_a 4.828
_cell_length_b 4.828
_cell_length_c 4.828
_cell_angle_alpha 90.00
_cell_angle_beta 90.00
_cell_angle_gamma 90.00
_space_group_name_H-M_alt 'P m -3 m'
_space_group_IT_number 221
_space_group_name_Hall '-P 4 2 3'
loop_
_atom_site_label
_atom_site_fract_x
_atom_site_fract_y
_atom_site_fract_z
_atom_site_occupancy
Pd1 0.000 0.000 0.500 1
Se1 0.000 0.000 0.000 1
I1 0.500 0.500 0.500 1
```

Mass density ... 7749 kg/m3

---

Computed energies relative to the best structure, in meV per atom: A 528; B 0

---

A:
An optimized crystal structure of SiTe2PdI. Source: Alexandria, functional PBE.

```
data_SiTe2PdI
_cell_length_a 5.278
_cell_length_b 5.278
_cell_length_c 5.420
_cell_angle_alpha 90.00
_cell_angle_beta 90.00
_cell_angle_gamma 90.00
_space_group_name_H-M_alt 'P 4/m m m'
_space_group_IT_number 123
_space_group_name_Hall '-P 4 2'
loop_
_atom_site_label
_atom_site_fract_x
_atom_site_fract_y
_atom_site_fract_z
_atom_site_occupancy
Si1 0.000 0.000 0.000 1
Te1 0.000 0.500 0.500 1
Pd1 0.500 0.500 0.500 1
I1 0.500 0.500 0.000 1
```

Mass density ... 5681 kg/m3

---

B:
An optimized crystal structure of SiTe2PdI. Source: Alexandria, functional PBE.

```
data_SiTe2PdI
_cell_length_a 5.266
_cell_length_b 5.266
_cell_length_c 5.415
_cell_angle_alpha 90.00
_cell_angle_beta 90.00
_cell_angle_gamma 90.00
_space_group_name_H-M_alt 'P 4/m m m'
_space_group_IT_number 123
_space_group_name_Hall '-P 4 2'
loop_
_atom_site_label
_atom_site_fract_x
_atom_site_fract_y
_atom_site_fract_z
_atom_site_occupancy
Si1 0.000 0.000 0.000 1
Te1 0.000 0.500 0.000 1
Pd1 0.500 0.500 0.500 1
I1 0.000 0.000 0.500 1
```

Mass density ... 5712 kg/m3

---

Computed energies relative to the best structure, in meV per atom: A 0; B 115

---

A:
An optimized crystal structure of Sn2Pd2I. Source: Alexandria, functional PBE.

```
data_Sn2Pd2I
_cell_length_a 8.417
_cell_length_b 8.417
_cell_length_c 3.272
_cell_angle_alpha 90.00
_cell_angle_beta 90.00
_cell_angle_gamma 90.00
_space_group_name_H-M_alt 'P 4/m b m'
_space_group_IT_number 127
_space_group_name_Hall '-P 4 2ab'
loop_
_atom_site_label
_atom_site_fract_x
_atom_site_fract_y
_atom_site_fract_z
_atom_site_occupancy
Sn1 0.162 0.338 0.000 1
Pd1 0.120 0.620 0.500 1
I1 0.000 0.000 0.000 1
```

Mass density ... 8270 kg/m3

---

B:
An optimized crystal structure of Sn2Pd2I. Source: Alexandria, functional PBE.

```
data_Sn2Pd2I
_cell_length_a 3.944
_cell_length_b 3.944
_cell_length_c 16.575
_cell_angle_alpha 90.00
_cell_angle_beta 90.00
_cell_angle_gamma 90.00
_space_group_name_H-M_alt 'I 4/m m m'
_space_group_IT_number 139
_space_group_name_Hall '-I 4 2'
loop_
_atom_site_label
_atom_site_fract_x
_atom_site_fract_y
_atom_site_fract_z
_atom_site_occupancy
Sn1 0.000 0.000 0.135 1
Pd1 0.000 0.500 0.250 1
I1 0.000 0.000 0.500 1
```

Mass density ... 7432 kg/m3

---

Computed energies relative to the best structure, in meV per atom: A 162; B 0

---

A:
An optimized crystal structure of SrPd3I. Source: Alexandria, functional PBE.

```
data_SrPd3I
_cell_length_a 5.277
_cell_length_b 5.277
_cell_length_c 5.277
_cell_angle_alpha 90.00
_cell_angle_beta 90.00
_cell_angle_gamma 90.00
_space_group_name_H-M_alt 'P m -3 m'
_space_group_IT_number 221
_space_group_name_Hall '-P 4 2 3'
loop_
_atom_site_label
_atom_site_fract_x
_atom_site_fract_y
_atom_site_fract_z
_atom_site_occupancy
Sr1 0.000 0.000 0.000 1
Pd1 0.000 0.000 0.500 1
I1 0.500 0.500 0.500 1
```

Mass density ... 6031 kg/m3

---

B:
An optimized crystal structure of SrPd3I. Source: Alexandria, functional PBE.

```
data_SrPd3I
_cell_length_a 5.090
_cell_length_b 5.090
_cell_length_c 5.090
_cell_angle_alpha 90.00
_cell_angle_beta 90.00
_cell_angle_gamma 90.00
_space_group_name_H-M_alt 'P m -3 m'
_space_group_IT_number 221
_space_group_name_Hall '-P 4 2 3'
loop_
_atom_site_label
_atom_site_fract_x
_atom_site_fract_y
_atom_site_fract_z
_atom_site_occupancy
Sr1 0.000 0.000 0.000 1
Pd1 0.000 0.500 0.500 1
I1 0.500 0.500 0.500 1
```

Mass density ... 6721 kg/m3

---

Computed energies relative to the best structure, in meV per atom: A 778; B 0

---

A:
An optimized crystal structure of SrTe2PdI. Source: Alexandria, functional PBE.

```
data_SrTe2PdI
_cell_length_a 5.400
_cell_length_b 5.400
_cell_length_c 5.567
_cell_angle_alpha 90.00
_cell_angle_beta 90.00
_cell_angle_gamma 90.00
_space_group_name_H-M_alt 'P 4/m m m'
_space_group_IT_number 123
_space_group_name_Hall '-P 4 2'
loop_
_atom_site_label
_atom_site_fract_x
_atom_site_fract_y
_atom_site_fract_z
_atom_site_occupancy
Sr1 0.000 0.000 0.000 1
Te1 0.000 0.500 0.500 1
Pd1 0.500 0.500 0.500 1
I1 0.500 0.500 0.000 1
```

Mass density ... 5894 kg/m3

---

B:
An optimized crystal structure of SrTe2PdI. Source: Alexandria, functional PBE.

```
data_SrTe2PdI
_cell_length_a 6.320
_cell_length_b 6.320
_cell_length_c 6.235
_cell_angle_alpha 90.00
_cell_angle_beta 90.00
_cell_angle_gamma 90.00
_space_group_name_H-M_alt 'P 4/m m m'
_space_group_IT_number 123
_space_group_name_Hall '-P 4 2'
loop_
_atom_site_label
_atom_site_fract_x
_atom_site_fract_y
_atom_site_fract_z
_atom_site_occupancy
Sr1 0.000 0.000 0.000 1
Te1 0.000 0.500 0.000 1
Pd1 0.500 0.500 0.500 1
I1 0.000 0.000 0.500 1
```

Mass density ... 3841 kg/m3

---

Computed energies relative to the best structure, in meV per atom: A 0; B 963

---

A:
An optimized crystal structure of TaPdI3. Source: Alexandria, functional PBE.

```
data_TaPdI3
_cell_length_a 5.408
_cell_length_b 5.408
_cell_length_c 5.408
_cell_angle_alpha 90.00
_cell_angle_beta 90.00
_cell_angle_gamma 90.00
_space_group_name_H-M_alt 'P m -3 m'
_space_group_IT_number 221
_space_group_name_Hall '-P 4 2 3'
loop_
_atom_site_label
_atom_site_fract_x
_atom_site_fract_y
_atom_site_fract_z
_atom_site_occupancy
Ta1 0.000 0.000 0.000 1
Pd1 0.500 0.500 0.500 1
I1 0.000 0.500 0.500 1
```

Mass density ... 7014 kg/m3

---

B:
An optimized crystal structure of TaPdI3. Source: Alexandria, functional PBE.

```
data_TaPdI3
_cell_length_a 5.516
_cell_length_b 5.516
_cell_length_c 5.516
_cell_angle_alpha 90.00
_cell_angle_beta 90.00
_cell_angle_gamma 90.00
_space_group_name_H-M_alt 'P m -3 m'
_space_group_IT_number 221
_space_group_name_Hall '-P 4 2 3'
loop_
_atom_site_label
_atom_site_fract_x
_atom_site_fract_y
_atom_site_fract_z
_atom_site_occupancy
Ta1 0.000 0.000 0.000 1
Pd1 0.500 0.500 0.500 1
I1 0.000 0.000 0.500 1
```

Mass density ... 6611 kg/m3

---

Computed energies relative to the best structure, in meV per atom: A 371; B 0

---

A:
An optimized crystal structure of TaPdI2. Source: Alexandria, functional PBE.

```
data_TaPdI2
_cell_length_a 6.993
_cell_length_b 6.993
_cell_length_c 6.993
_cell_angle_alpha 90.00
_cell_angle_beta 90.00
_cell_angle_gamma 90.00
_space_group_name_H-M_alt 'F m -3 m'
_space_group_IT_number 225
_space_group_name_Hall '-F 4 2 3'
loop_
_atom_site_label
_atom_site_fract_x
_atom_site_fract_y
_atom_site_fract_z
_atom_site_occupancy
Ta1 0.000 0.000 0.000 1
Pd1 0.000 0.000 0.500 1
I1 0.250 0.250 0.250 1
```

Mass density ... 10511 kg/m3

---

B:
An optimized crystal structure of TaPdI2. Source: Alexandria, functional PBE.

```
data_TaPdI2
_cell_length_a 6.577
_cell_length_b 6.577
_cell_length_c 11.401
_cell_angle_alpha 90.00
_cell_angle_beta 90.00
_cell_angle_gamma 90.00
_space_group_name_H-M_alt 'I -4 2 d'
_space_group_IT_number 122
_space_group_name_Hall 'I -4 2bw'
loop_
_atom_site_label
_atom_site_fract_x
_atom_site_fract_y
_atom_site_fract_z
_atom_site_occupancy
Ta1 0.000 0.000 0.000 1
Pd1 0.000 0.000 0.500 1
I1 0.243 0.250 0.625 1
```

Mass density ... 7288 kg/m3

---

Computed energies relative to the best structure, in meV per atom: A 0; B 71

---

A:
An optimized crystal structure of TcPdI3. Source: Alexandria, functional PBE.

```
data_TcPdI3
_cell_length_a 5.483
_cell_length_b 5.483
_cell_length_c 5.483
_cell_angle_alpha 90.00
_cell_angle_beta 90.00
_cell_angle_gamma 90.00
_space_group_name_H-M_alt 'P m -3 m'
_space_group_IT_number 221
_space_group_name_Hall '-P 4 2 3'
loop_
_atom_site_label
_atom_site_fract_x
_atom_site_fract_y
_atom_site_fract_z
_atom_site_occupancy
Tc1 0.000 0.000 0.000 1
Pd1 0.500 0.500 0.500 1
I1 0.000 0.500 0.500 1
```

Mass density ... 5894 kg/m3

---

B:
An optimized crystal structure of TcPdI3. Source: Alexandria, functional PBE.

```
data_TcPdI3
_cell_length_a 5.502
_cell_length_b 5.502
_cell_length_c 5.502
_cell_angle_alpha 90.00
_cell_angle_beta 90.00
_cell_angle_gamma 90.00
_space_group_name_H-M_alt 'P m -3 m'
_space_group_IT_number 221
_space_group_name_Hall '-P 4 2 3'
loop_
_atom_site_label
_atom_site_fract_x
_atom_site_fract_y
_atom_site_fract_z
_atom_site_occupancy
Tc1 0.000 0.000 0.000 1
Pd1 0.500 0.500 0.500 1
I1 0.000 0.000 0.500 1
```

Mass density ... 5835 kg/m3

---

Computed energies relative to the best structure, in meV per atom: A 88; B 0